DFT (PBE) results for a relaxed structure of HfMgCd2.

Cell: 6.2952 6.2952 6.2952 Å, 103.95 103.95 121.19°
Fractional coordinates of all 8 atoms:
Hf: 0.0000 0.0000 0.0000
Hf: 0.7500 0.2500 0.5000
Mg: 0.2500 0.7500 0.5000
Mg: 0.5000 0.5000 0.0000
Cd: 0.1375 0.1250 0.5125
Cd: 0.3750 0.8625 0.9875
Cd: 0.6125 0.6250 0.4875
Cd: 0.8750 0.3875 0.0125

Properties
N(E_F) in states/eV per atom: 0.7453
Total DFT energy (no corrections) in eV per cell: -23.87